The following is a DFT calculation (GGA-PBE) of a relaxed Ac5Zn crystal.

POSCAR file:
```
Ac5Zn
1.0
5.4163 0.0000 0.0000
0.0000 5.3537 0.0000
0.0000 -2.6769 8.2347
Ac Zn
5 1
Direct
0.0000 0.6615 0.3231 Ac
0.5000 0.5000 0.0000 Ac
0.0000 0.3385 0.6769 Ac
0.5000 0.8380 0.6761 Ac
0.5000 0.1620 0.3239 Ac
0.0000 0.0000 0.0000 Zn
```

Output
- electronic total energy (eV per atom) = -3.573
- formation enthalpy at 0 K (kJ/mol of formula units) = 36
- space group = Cmmm (65)
- magnetic moment (Bohr magnetons per cell) = 0.00

***

The following is a DFT calculation (GGA-PBE) of a relaxed AcZn4 crystal.

POSCAR file:
```
AcZn4
1.0
6.2479 0.0000 0.0000
0.0000 6.2479 0.0000
0.0000 0.0000 6.2479
Ac Zn
1 4
Direct
0.5000 0.5000 0.5000 Ac
0.5000 0.5000 0.0000 Zn
0.5000 0.0000 0.5000 Zn
0.0000 0.5000 0.5000 Zn
0.0000 0.0000 0.0000 Zn
```

Output
- electronic total energy (eV per atom) = -0.893
- formation enthalpy at 0 K (kJ/mol of formula units) = 457
- space group = Pm-3m (221)
- magnetic moment (Bohr magnetons per cell) = 0.00

***

The following is a DFT calculation (GGA-PBE) of a relaxed Ac5Zn crystal.

POSCAR file:
```
Ac5Zn
1.0
-1.9191 -1.4265 -3.1702
3.3844 0.0608 -2.0761
3.0529 -14.2414 4.5601
Ac Zn
5 1
Direct
0.0000 0.0000 0.1253 Ac
0.0000 0.0000 0.5000 Ac
0.5000 0.5000 0.3147 Ac
0.5000 0.5000 0.6853 Ac
0.0000 0.0000 0.8747 Ac
0.5000 0.5000 0.0000 Zn
```

Output
- electronic total energy (eV per atom) = -3.713
- formation enthalpy at 0 K (kJ/mol of formula units) = -44
- space group = P4/mmm (123)
- magnetic moment (Bohr magnetons per cell) = 0.00

***

| no. | energy relative to the lowest polymorph listed for this composition (eV/atom) |
| --- | --- |
| 1 | 0.1396 |
| 2 | 1.2346 |
| 3 | 0.0000 |